Li4TlFe: relaxed, PBE. Values from VASP.

Quantum ESPRESSO input file:
```
&SYSTEM
  ibrav = 0, nat = 6, ntyp = 3
/
ATOMIC_SPECIES
Li 6.94 Li.upf
Tl 204.38 Tl.upf
Fe 55.84 Fe.upf
ATOMIC_POSITIONS angstrom
Li 2.702 4.516 4.516
Li 4.516 4.516 2.702
Li 4.516 2.702 4.516
Li 2.702 2.702 2.702
Tl 5.414 5.414 5.414
Fe 0.000 0.000 0.000
CELL_PARAMETERS angstrom
0.000 3.609 3.609
3.609 0.000 3.609
3.609 3.609 0.000
```

Calculated values
electronic total energy = -17.1 eV for the cell shown
DOS(E_F) = 1.0755 states/eV/atom
energy of formation from the pure elements = 0.236 eV/atom
calculated volume = 15.67 A^3/atom